w.
Compound: NbTc3N
Source: Alexandria
Functional: PBE-GGA
Structure: relaxed

Summary:
Fermi-level density of states in states/eV/cell: 6.04

a b c (Å): 4.748 4.748 4.748
angles (deg): 90.00 90.00 90.00
Last column: magnetic moment on the atom in μB.
Atoms (fractional coordinates):
Tc 0.000 0.000 0.500  0.81
Tc 0.000 0.500 0.000  0.88
Nb 0.000 0.000 0.000  -0.20
N 0.500 0.500 0.500  -1.21
Tc 0.500 0.000 0.000  1.04

---

x.
Compound: NbTc3N
Source: Alexandria
Functional: PBE-GGA
Structure: relaxed

Summary:
Fermi-level density of states in states/eV/cell: 3.01

a b c (Å): 4.085 4.085 4.085
angles (deg): 90.00 90.00 90.00
Atoms (fractional coordinates):
Tc 0.000 0.000 0.500
N 0.000 0.000 0.000
Tc 0.500 0.000 0.000
Tc 0.000 0.500 0.000
Nb 0.500 0.500 0.500

---

Energies relative to the most stable structure are w 303.1; x 0.0, reported in kJ/mol of atoms.

---

w.
Compound: Nb3TeN
Source: Alexandria
Functional: PBE-GGA
Structure: relaxed

Summary:
Fermi-level density of states in states/eV/cell: 8.67

a b c (Å): 5.048 5.048 5.048
angles (deg): 90.00 90.00 90.00
Last column: magnetic moment on the atom in μB.
Atoms (fractional coordinates):
Nb 0.000 0.000 0.500  0.60
Nb 0.000 0.500 0.000  0.63
Nb 0.500 0.000 0.000  0.69
N 0.500 0.500 0.500  -0.57
Te 0.000 0.000 0.000  -0.01

---

x.
Compound: Nb3TeN
Source: Alexandria
Functional: PBE-GGA
Structure: relaxed

Summary:
Fermi-level density of states in states/eV/cell: 2.28

a b c (Å): 4.329 4.329 4.329
angles (deg): 90.00 90.00 90.00
Atoms (fractional coordinates):
Nb 0.500 0.000 0.000
Te 0.500 0.500 0.500
N 0.000 0.000 0.000
Nb 0.000 0.000 0.500
Nb 0.000 0.500 0.000

---

Energies relative to the most stable structure are w 282.4; x 0.0, reported in kJ/mol of atoms.

---

w.
Compound: NbTlTe2N
Source: Alexandria
Functional: PBE-GGA
Structure: relaxed

Summary:
Fermi-level density of states in states/eV/cell: 4.59

a b c (Å): 5.800 5.800 4.114
angles (deg): 90.00 90.00 90.00
Last column: magnetic moment on the atom in μB.
Atoms (fractional coordinates):
Nb 0.500 0.500 0.500  2.36
Tl 0.000 0.000 0.000  0.00
Te 0.000 0.500 0.000  -0.06
Te 0.500 0.000 0.000  -0.06
N 0.000 0.000 0.500  0.81

---

x.
Compound: NbTlTe2N
Source: Alexandria
Functional: PBE-GGA
Structure: relaxed

Summary:
Fermi-level density of states in states/eV/cell: 4.63

a b c (Å): 5.733 5.733 3.948
angles (deg): 90.00 90.00 90.00
Atoms (fractional coordinates):
Te 0.000 0.500 0.000
N 0.000 0.000 0.500
Te 0.500 0.000 0.000
Tl 0.500 0.500 0.500
Nb 0.000 0.000 0.000

---

Energies relative to the most stable structure are w 147.5; x 0.0, reported in kJ/mol of atoms.

---

w.
Compound: NbVTeN2
Source: Alexandria
Functional: PBE-GGA
Structure: relaxed

Summary:
Fermi-level density of states in states/eV/cell: 6.94

a b c (Å): 4.027 4.027 5.771
angles (deg): 90.00 90.00 90.00
Last column: magnetic moment on the atom in μB.
Atoms (fractional coordinates):
V 0.500 0.500 0.500  0.62
Te 0.000 0.000 0.500  -0.01
Nb 0.000 0.000 0.000  0.04
N 0.500 0.000 0.000  -0.08
N 0.000 0.500 0.000  -0.08

---

x.
Compound: NbVTeN2
Source: Alexandria
Functional: PBE-GGA
Structure: relaxed

Summary:
Fermi-level density of states in states/eV/cell: 5.13

a b c (Å): 3.894 3.894 5.373
angles (deg): 90.00 90.00 90.00
Last column: magnetic moment on the atom in μB.
Atoms (fractional coordinates):
Nb 0.500 0.500 0.500  1.67
Te 0.000 0.000 0.500  -0.06
N 0.000 0.500 0.000  -0.34
N 0.500 0.000 0.000  -0.34
V 0.000 0.000 0.000  0.64

---

Energies relative to the most stable structure are w 1.7; x 0.0, reported in kJ/mol of atoms.

---

w.
Compound: NbTe2WN
Source: Alexandria
Functional: PBE-GGA
Structure: relaxed

Summary:
Fermi-level density of states in states/eV/cell: 4.71

a b c (Å): 5.445 5.445 3.783
angles (deg): 90.00 90.00 90.00
Last column: magnetic moment on the atom in μB.
Atoms (fractional coordinates):
W 0.000 0.000 0.000  0.21
Te 0.500 0.000 0.000  -0.09
N 0.000 0.000 0.500  -0.02
Nb 0.500 0.500 0.500  2.18
Te 0.000 0.500 0.000  -0.09

---

x.
Compound: NbTe2WN
Source: Alexandria
Functional: PBE-GGA
Structure: relaxed

Summary:
Fermi-level density of states in states/eV/cell: 4.03

a b c (Å): 5.519 5.519 3.843
angles (deg): 90.00 90.00 90.00
Last column: magnetic moment on the atom in μB.
Atoms (fractional coordinates):
Te 0.500 0.000 0.000  -0.12
W 0.500 0.500 0.500  2.64
Te 0.000 0.500 0.000  -0.12
Nb 0.000 0.000 0.000  0.18
N 0.000 0.000 0.500  0.02

---

Energies relative to the most stable structure are w 0.0; x 34.6, reported in kJ/mol of atoms.

---

w.
Compound: NbZnTeN2
Source: Alexandria
Functional: PBE-GGA
Structure: relaxed

Summary:
Fermi-level density of states in states/eV/cell: 2.67

a b c (Å): 4.023 4.023 5.955
angles (deg): 90.00 90.00 90.00
Last column: magnetic moment on the atom in μB.
Atoms (fractional coordinates):
N 0.500 0.000 0.000  0.28
Zn 0.500 0.500 0.500  0.01
N 0.000 0.500 0.000  0.28
Nb 0.000 0.000 0.000  -0.09
Te 0.000 0.000 0.500  0.02

---

x.
Compound: NbZnTeN2
Source: Alexandria
Functional: PBE-GGA
Structure: relaxed

Summary:
Fermi-level density of states in states/eV/cell: 5.06

a b c (Å): 3.962 3.962 5.208
angles (deg): 90.00 90.00 90.00
Atoms (fractional coordinates):
N 0.500 0.000 0.000
Zn 0.000 0.000 0.000
Nb 0.500 0.500 0.500
N 0.000 0.500 0.000
Te 0.000 0.000 0.500

---

Energies relative to the most stable structure are w 0.0; x 125.0, reported in kJ/mol of atoms.

---

w.
Compound: ZrNbTe2N
Source: Alexandria
Functional: PBE-GGA
Structure: relaxed

Summary:
Fermi-level density of states in states/eV/cell: 6.71

a b c (Å): 5.702 5.702 3.959
angles (deg): 90.00 90.00 90.00
Last column: magnetic moment on the atom in μB.
Atoms (fractional coordinates):
Zr 0.000 0.000 0.000  0.03
Te 0.000 0.500 0.000  -0.12
Te 0.500 0.000 0.000  -0.12
N 0.000 0.000 0.500  0.00
Nb 0.500 0.500 0.500  2.32

---

x.
Compound: ZrNbTe2N
Source: Alexandria
Functional: PBE-GGA
Structure: relaxed

Summary:
Fermi-level density of states in states/eV/cell: 4.20

a b c (Å): 5.543 5.543 3.871
angles (deg): 90.00 90.00 90.00
Last column: magnetic moment on the atom in μB.
Atoms (fractional coordinates):
Te 0.000 0.500 0.000  -0.03
N 0.000 0.000 0.500  0.01
Nb 0.000 0.000 0.000  -0.06
Te 0.500 0.000 0.000  -0.03
Zr 0.500 0.500 0.500  0.53

---

Energies relative to the most stable structure are w 30.7; x 0.0, reported in kJ/mol of atoms.

---

w.
Compound: TiNb2N
Source: Alexandria
Functional: PBE-GGA
Structure: relaxed

Summary:
Fermi-level density of states in states/eV/cell: 5.55

a b c (Å): 7.526 7.526 5.741
angles (deg): 49.05 49.05 90.00
Atoms (fractional coordinates):
Nb 0.499 0.125 0.250
Nb 0.875 0.749 0.750
Ti 0.000 0.000 0.000
N 0.250 0.750 0.500
Nb 0.251 0.625 0.250
Nb 0.375 0.501 0.750
Ti 0.750 0.250 0.500
N 0.500 0.500 0.000

---

x.
Compound: TiNb2N
Source: Alexandria
Functional: PBE-GGA
Structure: relaxed

Summary:
Fermi-level density of states in states/eV/cell: 7.58

a b c (Å): 4.350 4.350 4.350
angles (deg): 60.00 60.00 60.00
Atoms (fractional coordinates):
Nb 0.750 0.750 0.750
N 0.000 0.000 0.000
Ti 0.500 0.500 0.500
Nb 0.250 0.250 0.250

---

Energies relative to the most stable structure are w 0.0; x 130.6, reported in kJ/mol of atoms.

---

w.
Compound: TiNb2N
Source: Alexandria
Functional: PBE-GGA
Structure: relaxed

Summary:
Fermi-level density of states in states/eV/cell: 3.27

a b c (Å): 3.029 3.029 8.020
angles (deg): 79.11 79.11 60.00
Atoms (fractional coordinates):
N 0.500 0.500 0.500
Ti 0.000 0.000 0.000
Nb 0.889 0.889 0.333
Nb 0.111 0.111 0.667

---

x.
Compound: TiNb2N
Source: Alexandria
Functional: PBE-GGA
Structure: relaxed

Summary:
Fermi-level density of states in states/eV/cell: 5.97

a b c (Å): 2.848 4.850 8.620
angles (deg): 90.00 90.00 100.11
Atoms (fractional coordinates):
Nb 0.279 0.758 0.921
Nb 0.279 0.758 0.579
Ti 0.114 0.238 0.750
Ti 0.886 0.762 0.250
N 0.706 0.559 0.750
Nb 0.721 0.242 0.421
Nb 0.721 0.242 0.079
N 0.294 0.441 0.250

---

Energies relative to the most stable structure are w 25.1; x 0.0, reported in kJ/mol of atoms.

---

w.
Compound: TiNb3N
Source: Alexandria
Functional: PBE-GGA
Structure: relaxed

Summary:
Fermi-level density of states in states/eV/cell: 6.71

a b c (Å): 4.645 4.645 4.645
angles (deg): 90.00 90.00 90.00
Atoms (fractional coordinates):
Nb 0.500 0.000 0.000
Nb 0.000 0.500 0.000
N 0.500 0.500 0.500
Nb 0.000 0.000 0.500
Ti 0.000 0.000 0.000

---

x.
Compound: TiNb3N
Source: Alexandria
Functional: PBE-GGA
Structure: relaxed

Summary:
Fermi-level density of states in states/eV/cell: 3.69

a b c (Å): 4.296 4.296 4.296
angles (deg): 90.00 90.00 90.00
Atoms (fractional coordinates):
Nb 0.000 0.000 0.500
Ti 0.500 0.500 0.500
Nb 0.000 0.500 0.000
Nb 0.500 0.000 0.000
N 0.000 0.000 0.000

---

Energies relative to the most stable structure are w 258.4; x 0.0, reported in kJ/mol of atoms.

---

w.
Compound: NbV2ZnN
Source: Alexandria
Functional: PBE-GGA
Structure: relaxed

Summary:
Fermi-level density of states in states/eV/cell: 5.00

a b c (Å): 3.931 4.291 3.931
angles (deg): 90.00 90.00 90.00
Atoms (fractional coordinates):
V 0.500 0.000 0.000
V 0.000 0.000 0.500
Zn 0.000 0.500 0.000
Nb 0.500 0.500 0.500
N 0.000 0.000 0.000

---

x.
Compound: NbV2ZnN
Source: Alexandria
Functional: PBE-GGA
Structure: relaxed

Summary:
Fermi-level density of states in states/eV/cell: 4.82

a b c (Å): 3.912 3.912 4.334
angles (deg): 90.00 90.00 90.00
Atoms (fractional coordinates):
N 0.000 0.000 0.000
V 0.000 0.500 0.000
Nb 0.000 0.000 0.500
Zn 0.500 0.500 0.500
V 0.500 0.000 0.000

---

Energies relative to the most stable structure are w 33.0; x 0.0, reported in kJ/mol of atoms.

---

w.
Compound: NbWN2
Source: Alexandria
Functional: PBE-GGA
Structure: relaxed

Summary:
Fermi-level density of states in states/eV/cell: 1.14

a b c (Å): 2.901 2.901 6.091
angles (deg): 76.21 76.21 60.00
Atoms (fractional coordinates):
N 0.243 0.243 0.272
N 0.091 0.091 0.727
Nb 0.666 0.666 0.001
W 0.500 0.500 0.500

---

x.
Compound: NbWN2
Source: Alexandria
Functional: PBE-GGA
Structure: relaxed

Summary:
Fermi-level density of states in states/eV/cell: 8.14

a b c (Å): 4.617 4.617 5.948
angles (deg): 67.16 67.16 90.00
Atoms (fractional coordinates):
N 0.375 0.350 0.750
Nb 0.250 0.750 0.500
Nb 0.500 0.500 0.000
W 0.000 0.000 0.000
N 0.100 0.625 0.250
W 0.750 0.250 0.500
N 0.650 0.125 0.250
N 0.875 0.900 0.750

---

y.
Compound: NbWN2
Source: Alexandria
Functional: PBE-GGA
Structure: relaxed

Summary:
Fermi-level density of states in states/eV/cell: 4.37

a b c (Å): 3.880 3.880 3.880
angles (deg): 60.00 60.00 60.00
Atoms (fractional coordinates):
Nb 0.000 0.000 0.000
N 0.250 0.250 0.250
N 0.750 0.750 0.750
W 0.500 0.500 0.500

---

Energies relative to the most stable structure are w 0.0; x 30.5; y 67.5, reported in kJ/mol of atoms.

---

w.
Compound: NbW3N
Source: Alexandria
Functional: PBE-GGA
Structure: relaxed

Summary:
Fermi-level density of states in states/eV/cell: 6.70

a b c (Å): 4.767 4.767 4.767
angles (deg): 90.00 90.00 90.00
Last column: magnetic moment on the atom in μB.
Atoms (fractional coordinates):
Nb 0.000 0.000 0.000  0.06
N 0.500 0.500 0.500  0.68
W 0.000 0.500 0.000  -0.08
W 0.500 0.000 0.000  0.03
W 0.000 0.000 0.500  -0.07

---

x.
Compound: NbW3N
Source: Alexandria
Functional: PBE-GGA
Structure: relaxed

Summary:
Fermi-level density of states in states/eV/cell: 4.69

a b c (Å): 4.179 4.179 4.179
angles (deg): 90.00 90.00 90.00
Atoms (fractional coordinates):
W 0.000 0.000 0.500
W 0.000 0.500 0.000
Nb 0.500 0.500 0.500
N 0.000 0.000 0.000
W 0.500 0.000 0.000

---

Energies relative to the most stable structure are w 334.1; x 0.0, reported in kJ/mol of atoms.

---

w.
Compound: Nb3WN
Source: Alexandria
Functional: PBE-GGA
Structure: relaxed

Summary:
Fermi-level density of states in states/eV/cell: 5.34

a b c (Å): 4.274 4.274 4.274
angles (deg): 90.00 90.00 90.00
Atoms (fractional coordinates):
Nb 0.000 0.500 0.000
Nb 0.000 0.000 0.500
N 0.000 0.000 0.000
W 0.500 0.500 0.500
Nb 0.500 0.000 0.000

---

x.
Compound: Nb3WN
Source: Alexandria
Functional: PBE-GGA
Structure: relaxed

Summary:
Fermi-level density of states in states/eV/cell: 2.02

a b c (Å): 4.851 4.851 4.851
angles (deg): 90.00 90.00 90.00
Atoms (fractional coordinates):
N 0.500 0.500 0.500
Nb 0.000 0.000 0.500
Nb 0.000 0.500 0.000
W 0.000 0.000 0.000
Nb 0.500 0.000 0.000

---

Energies relative to the most stable structure are w 0.0; x 256.5, reported in kJ/mol of atoms.